# 1
Entry from the Alexandria database: an optimized crystal structure of Ca2GeO4 (GGA-PBEsol).

Lattice parameters (Å, degrees): 11.362 6.752 5.233 90.00 90.00 90.00
Positions (direct):
Ca  0.000  0.000  0.000
Ca  0.000  0.500  0.000
Ca  0.221  0.250  0.492
Ca  0.279  0.750  0.992
Ca  0.500  0.000  0.500
Ca  0.500  0.500  0.500
Ca  0.721  0.250  0.008
Ca  0.779  0.750  0.508
Ge  0.096  0.750  0.431
Ge  0.404  0.250  0.931
Ge  0.596  0.750  0.069
Ge  0.904  0.250  0.569
O  0.047  0.250  0.713
O  0.093  0.750  0.766
O  0.164  0.542  0.282
O  0.164  0.958  0.282
O  0.336  0.042  0.782
O  0.336  0.458  0.782
O  0.407  0.250  0.266
O  0.453  0.750  0.213
O  0.547  0.250  0.787
O  0.593  0.750  0.734
O  0.664  0.542  0.218
O  0.664  0.958  0.218
O  0.836  0.042  0.718
O  0.836  0.458  0.718
O  0.907  0.250  0.234
O  0.953  0.750  0.287

Output
- N(E_F) (states/eV/cell) = 0.0
- space-group type = Pnma, No. 62
- VASP energy (eV per atom) = -6.94

---

# 2
Entry from the Alexandria database: an optimized crystal structure of CaGeP2O8 (GGA-PBEsol).

Lattice parameters (Å, degrees): 8.256 8.256 7.782 115.63 115.63 35.92
Positions (direct):
Ca  0.167  0.833  0.750
Ca  0.833  0.167  0.250
Ge  0.000  0.500  0.500
Ge  0.500  0.000  0.000
P  0.122  0.594  0.245
P  0.406  0.878  0.255
P  0.594  0.122  0.745
P  0.878  0.406  0.755
O  0.046  0.501  0.292
O  0.126  0.195  0.903
O  0.178  0.735  0.410
O  0.195  0.126  0.403
O  0.265  0.822  0.090
O  0.327  0.389  0.643
O  0.389  0.327  0.143
O  0.499  0.954  0.208
O  0.501  0.046  0.792
O  0.611  0.673  0.857
O  0.673  0.611  0.357
O  0.735  0.178  0.910
O  0.805  0.874  0.597
O  0.822  0.265  0.590
O  0.874  0.805  0.097
O  0.954  0.499  0.708

Output
- N(E_F) (states/eV/cell) = 0.0
- space-group type = C2/c, No. 15
- VASP energy (eV per atom) = -7.41

---

# 3
Entry from the Alexandria database: an optimized crystal structure of CaGeSb2O (GGA-PBEsol).

Lattice parameters (Å, degrees): 5.666 5.666 3.614 90.00 90.00 90.00
Positions (direct):
Ca  0.000  0.000  0.000
Ge  0.500  0.500  0.500
Sb  0.000  0.500  0.500
Sb  0.500  0.000  0.500
O  0.500  0.500  0.000

Output
- N(E_F) (states/eV/cell) = 2.9
- space-group type = P4/mmm, No. 123
- distance to the lowest polymorph of the same formula (eV per formula unit) = 0.00

---

# 4
Entry from the Alexandria database: an optimized crystal structure of CaGeSb2O (GGA-PBEsol).

Lattice parameters (Å, degrees): 5.585 5.585 5.375 90.00 90.00 90.00
Positions (direct):
Ca  0.000  0.000  0.000
Ge  0.000  0.000  0.500
Sb  0.000  0.500  0.000
Sb  0.500  0.000  0.000
O  0.500  0.500  0.500

Output
- N(E_F) (states/eV/cell) = 6.1
- space-group type = P4/mmm, No. 123
- distance to the lowest polymorph of the same formula (eV per formula unit) = 8.53

---

# 5
Entry from the Alexandria database: an optimized crystal structure of Ca3Ge3Sb2O12 (GGA-PBEsol).

Lattice parameters (Å, degrees): 11.116 11.116 11.116 109.47 109.47 109.47
Positions (direct):
Ca  0.125  0.250  0.375
Ca  0.125  0.375  0.750
Ca  0.250  0.375  0.125
Ca  0.250  0.875  0.625
Ca  0.375  0.125  0.250
Ca  0.375  0.750  0.125
Ca  0.625  0.250  0.875
Ca  0.625  0.875  0.750
Ca  0.750  0.125  0.375
Ca  0.750  0.625  0.875
Ca  0.875  0.625  0.250
Ca  0.875  0.750  0.625
Ge  0.125  0.750  0.875
Ge  0.125  0.875  0.250
Ge  0.250  0.125  0.875
Ge  0.250  0.625  0.375
Ge  0.375  0.250  0.625
Ge  0.375  0.625  0.750
Ge  0.625  0.375  0.250
Ge  0.625  0.750  0.375
Ge  0.750  0.375  0.625
Ge  0.750  0.875  0.125
Ge  0.875  0.125  0.750
Ge  0.875  0.250  0.125
Sb  0.000  0.000  0.000
Sb  0.000  0.000  0.500
Sb  0.000  0.500  0.000
Sb  0.000  0.500  0.500
Sb  0.500  0.000  0.000
Sb  0.500  0.000  0.500
Sb  0.500  0.500  0.000
Sb  0.500  0.500  0.500
O  0.024  0.221  0.127
O  0.024  0.303  0.897
O  0.094  0.721  0.697
O  0.094  0.873  0.397
O  0.103  0.627  0.406
O  0.103  0.976  0.697
O  0.127  0.024  0.221
O  0.127  0.603  0.906
O  0.197  0.221  0.594
O  0.197  0.476  0.603
O  0.221  0.127  0.024
O  0.221  0.594  0.197
O  0.279  0.303  0.906
O  0.279  0.476  0.373
O  0.303  0.897  0.024
O  0.303  0.906  0.279
O  0.373  0.279  0.476
O  0.373  0.594  0.897
O  0.397  0.094  0.873
O  0.397  0.803  0.524
O  0.406  0.103  0.627
O  0.406  0.803  0.779
O  0.476  0.373  0.279
O  0.476  0.603  0.197
O  0.524  0.397  0.803
O  0.524  0.627  0.721
O  0.594  0.197  0.221
O  0.594  0.897  0.373
O  0.603  0.197  0.476
O  0.603  0.906  0.127
O  0.627  0.406  0.103
O  0.627  0.721  0.524
O  0.697  0.094  0.721
O  0.697  0.103  0.976
O  0.721  0.524  0.627
O  0.721  0.697  0.094
O  0.779  0.406  0.803
O  0.779  0.873  0.976
O  0.803  0.524  0.397
O  0.803  0.779  0.406
O  0.873  0.397  0.094
O  0.873  0.976  0.779
O  0.897  0.024  0.303
O  0.897  0.373  0.594
O  0.906  0.127  0.603
O  0.906  0.279  0.303
O  0.976  0.697  0.103
O  0.976  0.779  0.873

Output
- N(E_F) (states/eV/cell) = 0.0
- space-group type = Ia-3d, No. 230
- VASP energy (eV per atom) = -6.72

---

# 6
Entry from the Alexandria database: an optimized crystal structure of CaTiGeO5 (GGA-PBEsol).

Lattice parameters (Å, degrees): 6.664 8.867 7.154 90.00 113.91 90.00
Positions (direct):
Ca  0.250  0.076  0.246
Ca  0.250  0.424  0.746
Ca  0.750  0.576  0.254
Ca  0.750  0.924  0.754
Ti  0.251  0.748  0.991
Ti  0.251  0.752  0.491
Ti  0.749  0.248  0.509
Ti  0.749  0.252  0.009
Ge  0.249  0.068  0.748
Ge  0.249  0.432  0.248
Ge  0.751  0.568  0.752
Ge  0.751  0.932  0.252
O  0.058  0.194  0.577
O  0.058  0.306  0.077
O  0.144  0.542  0.393
O  0.144  0.958  0.893
O  0.250  0.683  0.749
O  0.250  0.817  0.249
O  0.357  0.541  0.105
O  0.357  0.959  0.605
O  0.439  0.193  0.921
O  0.439  0.307  0.421
O  0.561  0.693  0.579
O  0.561  0.807  0.079
O  0.643  0.041  0.395
O  0.643  0.459  0.895
O  0.750  0.183  0.751
O  0.750  0.317  0.251
O  0.856  0.042  0.107
O  0.856  0.458  0.607
O  0.942  0.694  0.923
O  0.942  0.806  0.423

Output
- N(E_F) (states/eV/cell) = 0.0
- space-group type = P2_1/c, No. 14
- VASP energy (eV per atom) = -7.86

---

# 7
Entry from the Alexandria database: an optimized crystal structure of CaTiGeO5 (GGA-PBEsol).

Lattice parameters (Å, degrees): 5.546 5.546 7.137 104.02 104.02 106.17
Positions (direct):
Ca  0.175  0.825  0.750
Ca  0.825  0.175  0.250
Ti  0.500  0.500  0.000
Ti  0.500  0.500  0.500
Ge  0.181  0.819  0.250
Ge  0.819  0.181  0.750
O  0.134  0.247  0.922
O  0.185  0.603  0.394
O  0.247  0.134  0.422
O  0.397  0.815  0.106
O  0.433  0.567  0.750
O  0.567  0.433  0.250
O  0.603  0.185  0.894
O  0.753  0.866  0.578
O  0.815  0.397  0.606
O  0.866  0.753  0.078

Output
- N(E_F) (states/eV/cell) = 0.0
- space-group type = C2/c, No. 15
- VASP energy (eV per atom) = -7.86

---

# 8
Entry from the Alexandria database: an optimized crystal structure of CaTiGe2O6 (GGA-PBEsol).

Lattice parameters (Å, degrees): 11.714 8.534 5.375 90.00 99.17 90.00
Positions (direct):
Ca  0.245  0.080  0.179
Ca  0.245  0.420  0.679
Ca  0.755  0.580  0.321
Ca  0.755  0.920  0.821
Ti  0.224  0.665  0.164
Ti  0.224  0.835  0.664
Ti  0.776  0.165  0.336
Ti  0.776  0.335  0.836
Ge  0.020  0.147  0.649
Ge  0.020  0.353  0.149
Ge  0.438  0.132  0.692
Ge  0.438  0.368  0.192
Ge  0.562  0.632  0.808
Ge  0.562  0.868  0.308
Ge  0.980  0.647  0.851
Ge  0.980  0.853  0.351
O  0.075  0.545  0.198
O  0.075  0.955  0.698
O  0.095  0.237  0.947
O  0.095  0.263  0.447
O  0.124  0.655  0.793
O  0.124  0.845  0.293
O  0.286  0.665  0.507
O  0.286  0.835  0.007
O  0.309  0.504  0.084
O  0.309  0.996  0.584
O  0.360  0.225  0.938
O  0.360  0.275  0.438
O  0.640  0.725  0.562
O  0.640  0.775  0.062
O  0.691  0.004  0.416
O  0.691  0.496  0.916
O  0.714  0.165  0.993
O  0.714  0.335  0.493
O  0.876  0.155  0.707
O  0.876  0.345  0.207
O  0.905  0.737  0.553
O  0.905  0.763  0.053
O  0.925  0.045  0.302
O  0.925  0.455  0.802

Output
- N(E_F) (states/eV/cell) = 0.0
- space-group type = P2_1/c, No. 14
- VASP energy (eV per atom) = -7.52

---

Number 1: spin magnetization 0.0000 μB per atom. Number 2: spin magnetization 0.0000 μB per atom. Number 3: spin magnetization 0.0000 μB per atom. Number 4: spin magnetization 0.4418 μB per atom. Number 5: spin magnetization 0.0000 μB per atom. Number 6: spin magnetization 0.0000 μB per atom. Number 7: spin magnetization 0.0000 μB per atom. Number 8: spin magnetization 0.0000 μB per atom.